No. 1
{"formula": "InPOsO", "functional": "GGA-PBE", "state": "relaxed", "total_energy_ev_per_atom": -6.618, "crystal_system": "tetragonal", "de_polymorph_ev_per_fu": 0.00, "space_group": "P4/nmm", "mass_density_g_cm3": 9.9, "lattice": [[-2.7334, 2.5659, -1.4958], [-2.6217, -3.0397, -0.4234], [-2.5167, 1.2351, 6.7176]], "species": ["P", "P", "In", "In", "O", "O", "Os", "Os"], "frac_coords": [[0.0000, 0.5000, 0.6669], [0.5000, 0.0000, 0.3331], [0.5000, 0.0000, 0.8661], [0.0000, 0.5000, 0.1339], [0.5000, 0.5000, 0.0000], [0.0000, 0.0000, 0.0000], [0.5000, 0.5000, 0.5000], [0.0000, 0.0000, 0.5000]]}

***

No. 2
{"formula": "PrEr2Mg4Tl2", "functional": "GGA-PBE", "state": "relaxed", "total_energy_ev_per_atom": -2.993, "crystal_system": "orthorhombic", "space_group": "Amm2", "mass_density_g_cm3": 6.9, "lattice": [[4.7018, 0.0000, 0.0000], [0.0000, 6.6757, 3.7585], [0.0000, -6.6757, 3.7585]], "species": ["Mg", "Mg", "Mg", "Mg", "Pr", "Er", "Er", "Tl", "Tl"], "frac_coords": [[0.5000, 0.2407, 0.0001], [0.5000, 0.0001, 0.2407], [0.5000, 0.7568, 0.7568], [0.0000, 0.9902, 0.9902], [0.0000, 0.4318, 0.4318], [0.0000, 0.5688, 0.0036], [0.0000, 0.0036, 0.5688], [0.5000, 0.3332, 0.6748], [0.5000, 0.6748, 0.3332]]}

***

No. 3
{"formula": "TlCuMoSe2S", "functional": "GGA-PBE", "state": "relaxed", "total_energy_ev_per_atom": -4.970, "crystal_system": "orthorhombic", "space_group": "Cmcm", "mass_density_g_cm3": 7.1, "lattice": [[1.8645, -7.3094, 0.0000], [1.8645, 7.3094, 0.0000], [0.0000, 0.0000, 9.5497]], "species": ["Cu", "Cu", "Tl", "Tl", "Se", "Se", "Se", "Se", "Mo", "Mo", "S", "S"], "frac_coords": [[0.5320, 0.4680, 0.2500], [0.4680, 0.5320, 0.7500], [0.2596, 0.7404, 0.2500], [0.7404, 0.2596, 0.7500], [0.6241, 0.3759, 0.4571], [0.6241, 0.3759, 0.0429], [0.3759, 0.6241, 0.9571], [0.3759, 0.6241, 0.5429], [0.0000, 0.0000, 0.5000], [0.0000, 0.0000, 0.0000], [0.9404, 0.0596, 0.2500], [0.0596, 0.9404, 0.7500]]}

***

No. 4
{"formula": "Dy2Er2SiCl5", "functional": "GGA-PBE", "state": "relaxed", "total_energy_ev_per_atom": -4.967, "crystal_system": "monoclinic", "space_group": "C2/m", "mass_density_g_cm3": 5.4, "lattice": [[8.6919, -1.9574, 0.0000], [8.6919, 1.9574, 0.0000], [-1.7199, 0.0000, 7.7982]], "species": ["Dy", "Dy", "Si", "Er", "Er", "Cl", "Cl", "Cl", "Cl", "Cl"], "frac_coords": [[0.3451, 0.3451, 0.9166], [0.6549, 0.6549, 0.0834], [0.5000, 0.5000, 0.0000], [0.0002, 0.0002, 0.2296], [0.9998, 0.9998, 0.7704], [0.8274, 0.8274, 0.1554], [0.1726, 0.1726, 0.8446], [0.1643, 0.1643, 0.3253], [0.5000, 0.5000, 0.5000], [0.8357, 0.8357, 0.6747]]}

***

No. 5
{"formula": "SbAu15", "functional": "GGA-PBE", "state": "relaxed", "total_energy_ev_per_atom": -3.289, "crystal_system": "orthorhombic", "de_polymorph_ev_per_fu": 0.04, "space_group": "Pmma", "mass_density_g_cm3": 14.5, "lattice": [[4.0781, 0.0000, 0.0000], [0.0000, 42.3276, 0.0000], [-0.0045, 0.0000, 4.0928]], "species": ["Au", "Au", "Au", "Au", "Au", "Au", "Au", "Au", "Au", "Au", "Au", "Au", "Au", "Au", "Au", "Au", "Au", "Au", "Au", "Au", "Au", "Au", "Au", "Au", "Au", "Au", "Au", "Au", "Au", "Au", "Sb", "Sb"], "frac_coords": [[0.5000, 0.3245, 0.5000], [0.0000, 0.4749, 0.5000], [0.0000, 0.7760, 0.5000], [0.5000, 0.5755, 0.0000], [0.5000, 0.1723, 0.0000], [0.5000, 0.2240, 0.5000], [0.0000, 0.3243, 0.0000], [0.0000, 0.6756, 0.5000], [0.0000, 0.8797, 0.5000], [0.5000, 0.5252, 0.5000], [0.5000, 0.4245, 0.5000], [0.0000, 0.8276, 0.0000], [0.5000, 0.3744, 0.0000], [0.5000, 0.6255, 0.5000], [0.0000, 0.2741, 0.5000], [0.5000, 0.2741, 0.0000], [0.5000, 0.7770, 0.0000], [0.0000, 0.1725, 0.5000], [0.5000, 0.1202, 0.5000], [0.5000, 0.4748, 0.0000], [0.0000, 0.2228, 0.0000], [0.5000, 0.8275, 0.5000], [0.0000, 0.7259, 0.0000], [0.0000, 0.3746, 0.5000], [0.0000, 0.6257, 0.0000], [0.5000, 0.6757, 0.0000], [0.0000, 0.5253, 0.0000], [0.0000, 0.4247, 0.0000], [0.0000, 0.5756, 0.5000], [0.5000, 0.7258, 0.5000], [0.0000, 0.1162, 0.0000], [0.5000, 0.8839, 0.0000]]}

***

No. 6
{"formula": "AuC5S4Cl4", "functional": "GGA-PBE", "state": "relaxed", "total_energy_ev_per_atom": -4.966, "crystal_system": "monoclinic", "space_group": "C2/m", "mass_density_g_cm3": 2.5, "lattice": [[7.5594, -5.3903, 0.0000], [7.5594, 5.3903, 0.0000], [-1.0438, 0.0000, 8.4811]], "species": ["C", "C", "C", "C", "C", "C", "C", "C", "C", "C", "Cl", "Cl", "Cl", "Cl", "Cl", "Cl", "Cl", "Cl", "S", "S", "S", "S", "S", "S", "S", "S", "Au", "Au"], "frac_coords": [[0.4920, 0.9371, 0.5005], [0.5234, 0.5234, 0.0778], [0.6600, 0.5318, 0.3504], [0.4766, 0.4766, 0.9222], [0.3400, 0.4682, 0.6496], [0.5080, 0.0629, 0.4995], [0.5318, 0.6600, 0.3504], [0.9371, 0.4920, 0.5005], [0.0629, 0.5080, 0.4995], [0.4682, 0.3400, 0.6496], [0.9290, 0.3588, 0.8737], [0.0180, 0.0180, 0.6861], [0.9820, 0.9820, 0.3139], [0.6412, 0.0710, 0.1263], [0.0710, 0.6412, 0.1263], [0.7383, 0.7383, 0.9277], [0.2617, 0.2617, 0.0723], [0.3588, 0.9290, 0.8737], [0.3138, 0.5836, 0.8225], [0.4671, 0.7714, 0.5262], [0.5836, 0.3138, 0.8225], [0.5329, 0.2286, 0.4738], [0.7714, 0.4671, 0.5262], [0.2286, 0.5329, 0.4738], [0.4164, 0.6862, 0.1775], [0.6862, 0.4164, 0.1775], [0.1393, 0.1393, 0.8775], [0.8607, 0.8607, 0.1225]]}